11
Lattice="-1.709 -3.146 0.056 3.137 -1.563 7.967 -9.299 7.120 1.814" Properties=species:S:1:pos:R:3 comment="Tb5Dy2Th4, optimized geometry, DFT PBE-GGA" de_polymorph_mev_per_atom=0 crystal_system=monoclinic delta_e_f_ev_per_atom=0.0251 dos_at_fermi_per_ev_atom=1.4664 pbc="T T T"
Tb -2.477 1.368 1.275
Tb -5.394 1.044 8.561
Tb -2.057 1.247 7.298
Tb -0.854 -1.573 0.028
Tb -5.814 1.166 2.538
Dy -0.407 -1.709 6.069
Dy -7.464 4.121 3.768
Th -3.136 -0.258 4.307
Th 0.194 -0.051 3.070
Th -4.735 2.670 5.530
Th -8.065 2.463 6.766

---

10
Lattice="-0.124 -7.144 -0.121 1.087 0.101 -7.062 3.898 -0.078 0.599" Properties=species:S:1:pos:R:3 comment="Y2Ni2Sb, optimized geometry, DFT PBE-GGA" de_polymorph_mev_per_atom=0 formation_energy_uncorrected_ev_per_atom=-0.63 crystal_system=tetragonal dos_at_fermi_per_ev_atom=0.8443 pbc="T T T"
Y 2.662 -1.230 -4.498
Y 2.761 -4.787 -5.600
Y 2.199 -5.891 -2.087
Y 2.100 -2.334 -0.985
Sb 0.000 0.000 0.000
Sb 0.482 -3.522 -3.592
Ni 0.909 -2.624 -6.259
Ni 0.565 -6.222 -4.487
Ni 0.054 -4.419 -0.925
Ni 0.398 -0.821 -2.696

---

4
Lattice="1.810 0.000 8.630 -0.905 1.567 8.630 -0.905 -1.567 8.630" Properties=species:S:1:pos:R:3 comment="IrSe2S, optimized geometry, DFT PBE-GGA" formation_energy_uncorrected_ev_per_atom=0.72 crystal_system=trigonal dos_at_fermi_per_ev_atom=0.6647 pbc="T T T"
S 0.000 0.000 12.946
Ir 0.000 0.000 0.000
Se 0.000 0.000 23.511
Se 0.000 0.000 2.380

---

3
Lattice="3.686 0.000 0.000 0.000 4.354 0.000 0.000 -2.177 3.771" Properties=species:S:1:pos:R:3 comment="DyGaTc, optimized geometry, DFT PBE-GGA" de_polymorph_mev_per_atom=238 crystal_system=hexagonal delta_e_f_ev_per_atom=-0.2140 dos_at_fermi_per_ev_atom=0.6779 pbc="T T T"
Tc 0.614 0.000 2.514
Ga 0.615 0.000 0.000
Dy 2.457 2.177 1.257